SiHgW: optimized geometry, PBE.

The space group is F-43m (No. 216) and the conventional cell measures 6.256, 6.256 and 6.256 Å, with angles of 90.00, 90.00 and 90.00 degrees. The asymmetric unit holds Si at (0.000, 0.000, 0.000), Hg at (0.000, 0.000, 0.500) and W at (0.250, 0.250, 0.750).

As for the calculated volume: 20.40 A^3/atom. The calculation puts the polymorph energy (0 for the lowest one) at 157 meV per atom. The value obtained for the total energy is -5.240 eV/atom. Its crystal system is cubic. As for the magnetic moment: 1.50 μB per formula unit.